A plane-wave DFT calculation with PBE-GGA was carried out for a geometry-optimized LiSi4W structure.

Cell: 4.8573 4.8573 4.8573 Å, 60.00 60.00 60.00°
With the nearest neighbours (Å) after each atom.
Fractional coordinates of all 6 atoms:
Li1 0.0000 0.0000 0.0000  12 Si 2.85, 4 W 2.97
Si1 0.1262 0.6246 0.6246  6 Si 2.42-2.44
Si2 0.6246 0.1262 0.6246  6 Si 2.42-2.44
Si3 0.6246 0.6246 0.1262  6 Si 2.42-2.44
Si4 0.6246 0.6246 0.6246  6 Si 2.42-2.44
W1 0.2500 0.2500 0.2500  12 Si 2.85, 4 Li 2.97

Computed properties:
* E_tot: -5.761 eV/atom
* symmetry: No. 216